(A)
VASP calculation (PBE-GGA) on K2YCl after structural relaxation.

The calculation puts the calculated volume at 47.15 Å³/atom.

It has space group I-42d (No. 122), with a = 11.8650 Å, b = 11.8650 Å, c = 5.3585 Å, α = 90.00°, β = 90.00° and γ = 90.00°. Symmetry generates all atoms from K at (0.1248, 0.7500, 0.1250), Y at (0.0000, 0.0000, 0.5000) and Cl at (0.0000, 0.0000, 0.0000).


(B)
VASP calculation (PBE-GGA) on K2YCl after structural relaxation.

The calculation puts the calculated volume at 39.46 Å³/atom.

It has space group C2/m (No. 12), with a = 6.2885 Å, b = 12.7839 Å, c = 3.9265 Å, α = 90.00°, β = 90.15° and γ = 90.00°. Symmetry generates all atoms from K at (0.2500, 0.2500, 0.0000), Y at (0.0000, 0.0000, 0.5000) and Cl at (0.0000, 0.5000, 0.5000).


Quick one: most stable of them? (A)


(A)
VASP calculation (PBE-GGA) on K2YCl after structural relaxation.

The calculation puts the calculated volume at 41.68 Å³/atom.

It has space group Cm (No. 8), with a = 14.5406 Å, b = 3.5765 Å, c = 7.2639 Å, α = 90.00°, β = 118.03° and γ = 90.00°. Symmetry generates all atoms from K at (0.0000, 0.0000, 0.0000), K at (0.1705, 0.0000, 0.6688), Y at (0.3607, 0.0000, 0.3733) and Cl at (0.2127, 0.5000, 0.0860).


(B)
VASP calculation (PBE-GGA) on K2YCl after structural relaxation.

The calculation puts the calculated volume at 36.55 Å³/atom.

It has space group P4/mmm (No. 123), with a = 3.6485 Å, b = 3.6485 Å, c = 10.9842 Å, α = 90.00°, β = 90.00° and γ = 90.00°. Symmetry generates all atoms from K at (0.0000, 0.0000, 0.1756), Y at (0.5000, 0.5000, 0.5000) and Cl at (0.5000, 0.5000, 0.0000).


Quick one: most stable of them? (B)


(A)
VASP calculation (PBE-GGA) on K2YCl after structural relaxation.

The calculation puts the calculated volume at 39.09 Å³/atom.

It has space group Immm (No. 71), with a = 3.6218 Å, b = 6.3875 Å, c = 13.5188 Å, α = 90.00°, β = 90.00° and γ = 90.00°. Symmetry generates all atoms from K at (0.0000, 0.0000, 0.1878), Y at (0.0000, 0.5000, 0.0000) and Cl at (0.0000, 0.5000, 0.5000).


(B)
VASP calculation (PBE-GGA) on K2YCl after structural relaxation.

The calculation puts the calculated volume at 40.19 Å³/atom.

It has space group Pmmm (No. 47), with a = 3.9450 Å, b = 6.3085 Å, c = 6.4596 Å, α = 90.00°, β = 90.00° and γ = 90.00°. Symmetry generates all atoms from K at (0.0000, 0.0000, 0.0000), K at (0.5000, 0.5000, 0.0000), Y at (0.0000, 0.5000, 0.5000) and Cl at (0.5000, 0.0000, 0.5000).


(C)
VASP calculation (PBE-GGA) on K2YCl after structural relaxation.

The calculation puts the calculated volume at 38.30 Å³/atom.

It has space group R-3m (No. 166, hexagonal axes), with a = 3.9294 Å, b = 3.9294 Å, c = 34.3723 Å, α = 90.00°, β = 90.00° and γ = 120.00°. Symmetry generates all atoms from K at (0.0000, 0.0000, 0.2271), Y at (0.0000, 0.0000, 0.0000) and Cl at (0.0000, 0.0000, 0.5000).


Quick one: most stable of them? (C)


(A)
VASP calculation (PBE-GGA) on K2YCl after structural relaxation.

The calculation puts the calculated volume at 42.38 Å³/atom.

It has space group I-4m2 (No. 119), with a = 5.0341 Å, b = 5.0341 Å, c = 13.3786 Å, α = 90.00°, β = 90.00° and γ = 90.00°. Symmetry generates all atoms from K at (0.0000, 0.0000, 0.0000), K at (0.0000, 0.5000, 0.2500), Y at (0.0000, 0.5000, 0.7500) and Cl at (0.0000, 0.0000, 0.5000).


(B)
VASP calculation (PBE-GGA) on K2YCl after structural relaxation.

The calculation puts the calculated volume at 40.23 Å³/atom.

It has space group Cmm2 (No. 35), with a = 3.8619 Å, b = 6.8346 Å, c = 12.1940 Å, α = 90.00°, β = 90.00° and γ = 90.00°. Symmetry generates all atoms from K at (0.0000, 0.0000, 0.0000), K at (0.0000, 0.5000, 0.3333), Y at (0.0000, 0.0000, 0.6215) and Cl at (0.0000, 0.5000, 0.7948).


Quick one: most stable of them? (B)